# Mg6Ga2Cu

An optimized crystal structure of Mg6Ga2Cu (PBE, the Alexandria database).

Computed properties:
Symmetry   P-62m
Uncorrected energy   -2.3160 eV/atom
Energy of formation   -125 meV per atom

Lattice parameters (Å, degrees): 7.7493 7.7493 3.3718 90.00 90.00 120.00
Closest atoms and distances in Å follow each position.
Positions (direct):
1 Mg 0.0000 0.2647 0.0000  2 Cu 2.66, 2 Ga 2.89
2 Mg 0.0000 0.6189 0.5000  4 Ga 2.95, 1 Cu 2.95, 6 Mg 3.12-3.22
3 Mg 0.2647 0.0000 0.0000  2 Cu 2.66, 2 Ga 2.89
4 Mg 0.3811 0.3811 0.5000  4 Ga 2.95, 1 Cu 2.95, 6 Mg 3.12-3.22
5 Mg 0.6189 0.0000 0.5000  4 Ga 2.95, 1 Cu 2.95, 6 Mg 3.12-3.22
6 Mg 0.7353 0.7353 0.0000  2 Cu 2.66, 2 Ga 2.89
7 Ga 0.3333 0.6667 0.0000  9 Mg 2.89-2.95
8 Ga 0.6667 0.3333 0.0000  9 Mg 2.89-2.95
9 Cu 0.0000 0.0000 0.5000  9 Mg 2.66-2.95